# RbIn6Sn6

A relaxed RbIn6Sn6 crystal (PBE, the Alexandria database).

The space group is Pm-3 (No. 200) and the conventional cell measures 8.1873, 8.1873 and 8.1873 Å, with angles of 90.00, 90.00 and 90.00 degrees. The inequivalent atoms are Rb at (0.0000, 0.0000, 0.0000), In at (0.0000, 0.5000, 0.2521) and Sn at (0.0000, 0.2482, 0.5000).

For the raw total energy, the calculation gives -39.6 eV for the cell shown. Its formation energy is 0.14 eV per atom. The value obtained for the density of states at the Fermi level is 1.03 states/eV per atom.

=====

# RbInSn

A relaxed RbInSn crystal (PBE, the Alexandria database).

The space group is Cmme (No. 67) and the conventional cell measures 8.0895, 13.1231 and 4.6701 Å, with angles of 90.00, 90.00 and 90.00 degrees. The inequivalent atoms are Rb at (0.2500, 0.0000, 0.0000), In at (0.2500, 0.2500, 0.5000) and Sn at (0.0000, 0.2500, 0.0423).

For the raw total energy, the calculation gives -31.2 eV for the cell shown. Its formation energy is -0.03 eV per atom. The value obtained for the density of states at the Fermi level is 0.28 states/eV per atom.

=====

# Rb2In3Sn5

A relaxed Rb2In3Sn5 crystal (PBE, the Alexandria database).

The space group is P-4m2 (No. 115) and the conventional cell measures 5.3248, 5.3248 and 11.8488 Å, with angles of 90.00, 90.00 and 90.00 degrees. The inequivalent atoms are Rb at (0.0000, 0.5000, 0.2489), In at (0.0000, 0.0000, 0.0000), In at (0.0000, 0.5000, 0.8742), Sn at (0.0000, 0.0000, 0.5000), Sn at (0.0000, 0.5000, 0.6237), Sn at (0.5000, 0.5000, 0.0000) and Sn at (0.5000, 0.5000, 0.5000).

The value obtained for the polymorph energy (0 for the lowest one) is 15.5 meV per atom. For the raw total energy, the calculation gives -31.5 eV for the cell shown. Its formation energy is -0.14 eV per atom. The value obtained for the density of states at the Fermi level is 0.41 states/eV per atom.

=====

# RbInSn

A relaxed RbInSn crystal (PBE, the Alexandria database).

The space group is P-6m2 (No. 187) and the conventional cell measures 5.6685, 5.6685 and 3.5263 Å, with angles of 90.00, 90.00 and 120.00 degrees. The inequivalent atoms are Rb at (0.0000, 0.0000, 0.0000), In at (0.3333, 0.6667, 0.5000) and Sn at (0.6667, 0.3333, 0.5000).

For the raw total energy, the calculation gives -7.8 eV for the cell shown. Its formation energy is -0.03 eV per atom. The value obtained for the density of states at the Fermi level is 0.57 states/eV per atom.

=====

# RbInSn

A relaxed RbInSn crystal (PBE, the Alexandria database).

The space group is I4mm (No. 107) and the conventional cell measures 3.6473, 3.6473 and 15.4430 Å, with angles of 90.00, 90.00 and 90.00 degrees. The inequivalent atoms are Rb at (0.0000, 0.0000, 0.0000), In at (0.0000, 0.0000, 0.3138) and Sn at (0.0000, 0.0000, 0.6861).

For the raw total energy, the calculation gives -15.8 eV for the cell shown. Its formation energy is -0.07 eV per atom. The value obtained for the density of states at the Fermi level is 0.71 states/eV per atom.

=====

# RbIn3Sn3

A relaxed RbIn3Sn3 crystal (PBE, the Alexandria database).

The space group is P2_1/m (No. 11) and the conventional cell measures 11.3417, 4.3488 and 11.3469 Å, with angles of 90.00, 119.95 and 90.00 degrees. The inequivalent atoms are Rb at (0.1667, 0.2500, 0.3332), In at (0.2102, 0.2500, 0.7971), In at (0.2974, 0.7500, 0.0873), In at (0.4127, 0.7500, 0.7102), Sn at (0.0597, 0.2500, 0.9597), Sn at (0.0998, 0.7500, 0.5594) and Sn at (0.4598, 0.7500, 0.4001).

The value obtained for the polymorph energy (0 for the lowest one) is 56.4 meV per atom. For the raw total energy, the calculation gives -41.9 eV for the cell shown. Its formation energy is 0.03 eV per atom. The value obtained for the density of states at the Fermi level is 0.42 states/eV per atom.